A plane-wave DFT calculation with PBE was carried out for a relaxed La6Hg2Rh3 crystal.

CIF file:
```
data_La6Hg2Rh3
_chemical_formula_sum 'La6 Hg2 Rh3'
_symmetry_space_group_name_H-M 'P 1'
_symmetry_Int_Tables_number 1
_symmetry_space_group_name_Hall 'P 1'
_cell_length_a 7.221
_cell_length_b 7.227
_cell_length_c 8.251
_cell_angle_alpha 81.49
_cell_angle_beta 72.77
_cell_angle_gamma 60.03
loop_
_atom_site_label
_atom_site_type_symbol
_atom_site_fract_x
_atom_site_fract_y
_atom_site_fract_z
_atom_site_occupancy
La1 La 0.402 0.660 0.797 1
La2 La 0.740 0.000 0.802 1
La3 La 0.062 0.340 0.797 1
La4 La 0.260 0.000 0.198 1
La5 La 0.598 0.340 0.203 1
La6 La 0.938 0.660 0.203 1
Hg1 Hg 0.165 0.671 0.500 1
Hg2 Hg 0.835 0.329 0.500 1
Rh1 Rh 0.000 0.000 0.000 1
Rh2 Rh 0.333 0.333 0.000 1
Rh3 Rh 0.667 0.667 0.000 1
```

Calculated values
**Fermi-level density of states**: 9.55 states/eV/f.u.
**Volume**: 356 Å³ per cell
**E**: -5.341 eV per atom
**E_form**: -0.5931 eV per atom
**Total magnetic moment**: 0.00 μB per formula unit